Record 1
A plane-wave DFT calculation with PBE was carried out for InReMo after structural relaxation.

Summary:
**Total energy**: -8.438 eV/atom
**Density**: 12.77 g/cm3
**Formation energy from the elements**: 0.2350 eV/atom
**Total moment**: 0.000 Bohr magnetons per cell
**Energy above the lowest structure with this stoichiometry**: 0 meV per atom

```
data_InReMo
_symmetry_space_group_name_H-M 'I 4 m m'
_symmetry_Int_Tables_number 107
_symmetry_space_group_name_Hall 'I 4 -2'
_cell_length_a 3.158
_cell_length_b 3.158
_cell_length_c 10.349
_cell_angle_alpha 90.00
_cell_angle_beta 90.00
_cell_angle_gamma 90.00
loop_
_atom_site_label
_atom_site_type_symbol
_atom_site_fract_x
_atom_site_fract_y
_atom_site_fract_z
In1 In 0.000 0.000 0.000
Re1 Re 0.000 0.000 0.319
Mo1 Mo 0.000 0.000 0.685
```



Record 2
A plane-wave DFT calculation with PBE was carried out for In2ReMo after structural relaxation.

Summary:
**Total energy**: -6.599 eV/atom
**Density**: 11.75 g/cm3
**Formation energy from the elements**: 0.5898 eV/atom
**Total moment**: 0.000 Bohr magnetons per cell
**Energy above the lowest structure with this stoichiometry**: 407 meV per atom

```
data_In2ReMo
_symmetry_space_group_name_H-M 'C 1 2/m 1'
_symmetry_Int_Tables_number 12
_symmetry_space_group_name_Hall '-C 2y'
_cell_length_a 9.537
_cell_length_b 2.998
_cell_length_c 5.145
_cell_angle_alpha 90.00
_cell_angle_beta 100.60
_cell_angle_gamma 90.00
loop_
_atom_site_label
_atom_site_type_symbol
_atom_site_fract_x
_atom_site_fract_y
_atom_site_fract_z
In1 In 0.248 0.000 0.248
Re1 Re 0.000 0.500 0.000
Mo1 Mo 0.000 0.000 0.500
```



Record 3
A plane-wave DFT calculation with PBE was carried out for In2ReMo after structural relaxation.

Summary:
**Total energy**: -6.705 eV/atom
**Density**: 11.45 g/cm3
**Formation energy from the elements**: 0.4844 eV/atom
**Total moment**: 0.000 Bohr magnetons per cell
**Energy above the lowest structure with this stoichiometry**: 302 meV per atom

```
data_In2ReMo
_symmetry_space_group_name_H-M 'I m m 2'
_symmetry_Int_Tables_number 44
_symmetry_space_group_name_Hall 'I 2 -2'
_cell_length_a 3.348
_cell_length_b 4.722
_cell_length_c 9.390
_cell_angle_alpha 90.00
_cell_angle_beta 90.00
_cell_angle_gamma 90.00
loop_
_atom_site_label
_atom_site_type_symbol
_atom_site_fract_x
_atom_site_fract_y
_atom_site_fract_z
In1 In 0.000 0.000 0.000
In2 In 0.000 0.500 0.223
Re1 Re 0.000 0.000 0.467
Mo1 Mo 0.000 0.500 0.762
```



Record 4
A plane-wave DFT calculation with PBE was carried out for In2ReMo after structural relaxation.

Summary:
**Total energy**: -7.006 eV/atom
**Density**: 10.79 g/cm3
**Formation energy from the elements**: 0.1826 eV/atom
**Total moment**: 0.000 Bohr magnetons per cell
**Energy above the lowest structure with this stoichiometry**: 0 meV per atom

```
data_In2ReMo
_symmetry_space_group_name_H-M 'P 1 m 1'
_symmetry_Int_Tables_number 6
_symmetry_space_group_name_Hall 'P -2y'
_cell_length_a 3.125
_cell_length_b 3.072
_cell_length_c 8.349
_cell_angle_alpha 90.00
_cell_angle_beta 100.65
_cell_angle_gamma 90.00
loop_
_atom_site_label
_atom_site_type_symbol
_atom_site_fract_x
_atom_site_fract_y
_atom_site_fract_z
In1 In 0.000 0.000 0.000
In2 In 0.175 0.500 0.336
Re1 Re 0.794 0.000 0.579
Mo1 Mo 0.377 0.500 0.750
```



Record 5
A plane-wave DFT calculation with PBE was carried out for In2ReMo after structural relaxation.

Summary:
**Total energy**: -6.557 eV/atom
**Density**: 11.74 g/cm3
**Formation energy from the elements**: 0.6323 eV/atom
**Total moment**: 0.000 Bohr magnetons per cell
**Energy above the lowest structure with this stoichiometry**: 450 meV per atom

```
data_In2ReMo
_symmetry_space_group_name_H-M 'C m m m'
_symmetry_Int_Tables_number 65
_symmetry_space_group_name_Hall '-C 2 2'
_cell_length_a 3.312
_cell_length_b 4.734
_cell_length_c 9.237
_cell_angle_alpha 90.00
_cell_angle_beta 90.00
_cell_angle_gamma 90.00
loop_
_atom_site_label
_atom_site_type_symbol
_atom_site_fract_x
_atom_site_fract_y
_atom_site_fract_z
In1 In 0.000 0.000 0.249
Re1 Re 0.000 0.500 0.000
Mo1 Mo 0.000 0.500 0.500
```



Record 6
A plane-wave DFT calculation with PBE was carried out for InReMo2 after structural relaxation.

Summary:
**Total energy**: -8.761 eV/atom
**Density**: 12.32 g/cm3
**Formation energy from the elements**: 0.4507 eV/atom
**Total moment**: 0.001 Bohr magnetons per cell

```
data_InReMo2
_symmetry_space_group_name_H-M 'P m m m'
_symmetry_Int_Tables_number 47
_symmetry_space_group_name_Hall '-P 2 2'
_cell_length_a 3.367
_cell_length_b 4.440
_cell_length_c 4.443
_cell_angle_alpha 90.00
_cell_angle_beta 90.00
_cell_angle_gamma 90.00
loop_
_atom_site_label
_atom_site_type_symbol
_atom_site_fract_x
_atom_site_fract_y
_atom_site_fract_z
In1 In 0.000 0.000 0.000
Re1 Re 0.500 0.500 0.000
Mo1 Mo 0.000 0.500 0.500
Mo2 Mo 0.500 0.000 0.500
```



Record 7
A plane-wave DFT calculation with PBE was carried out for In2ReMo after structural relaxation.

Summary:
**Total energy**: -6.626 eV/atom
**Density**: 11.87 g/cm3
**Formation energy from the elements**: 0.5635 eV/atom
**Total moment**: 0.001 Bohr magnetons per cell
**Energy above the lowest structure with this stoichiometry**: 381 meV per atom

```
data_In2ReMo
_symmetry_space_group_name_H-M 'I -4 m 2'
_symmetry_Int_Tables_number 119
_symmetry_space_group_name_Hall 'I -4 -2'
_cell_length_a 4.262
_cell_length_b 4.262
_cell_length_c 7.884
_cell_angle_alpha 90.00
_cell_angle_beta 90.00
_cell_angle_gamma 90.00
loop_
_atom_site_label
_atom_site_type_symbol
_atom_site_fract_x
_atom_site_fract_y
_atom_site_fract_z
In1 In 0.000 0.000 0.000
In2 In 0.000 0.500 0.250
Re1 Re 0.000 0.000 0.500
Mo1 Mo 0.000 0.500 0.750
```



Record 8
A plane-wave DFT calculation with PBE was carried out for InReMo after structural relaxation.

Summary:
**Total energy**: -7.949 eV/atom
**Density**: 10.97 g/cm3
**Formation energy from the elements**: 0.7238 eV/atom
**Total moment**: 0.000 Bohr magnetons per cell
**Energy above the lowest structure with this stoichiometry**: 489 meV per atom

```
data_InReMo
_symmetry_space_group_name_H-M 'F -4 3 m'
_symmetry_Int_Tables_number 216
_symmetry_space_group_name_Hall 'F -4 2 3'
_cell_length_a 6.217
_cell_length_b 6.217
_cell_length_c 6.217
_cell_angle_alpha 90.00
_cell_angle_beta 90.00
_cell_angle_gamma 90.00
loop_
_atom_site_label
_atom_site_type_symbol
_atom_site_fract_x
_atom_site_fract_y
_atom_site_fract_z
In1 In 0.000 0.000 0.000
Re1 Re 0.250 0.250 0.250
Mo1 Mo 0.000 0.000 0.500
```



Record 9
A plane-wave DFT calculation with PBE was carried out for Sc2InReMo after structural relaxation.

Summary:
**Total energy**: -6.945 eV/atom
**Density**: 6.80 g/cm3
**Formation energy from the elements**: 0.7913 eV/atom
**Total moment**: 0.000 Bohr magnetons per cell

```
data_Sc2InReMo
_symmetry_space_group_name_H-M 'P 4/m m m'
_symmetry_Int_Tables_number 123
_symmetry_space_group_name_Hall '-P 4 2'
_cell_length_a 5.017
_cell_length_b 5.017
_cell_length_c 4.720
_cell_angle_alpha 90.00
_cell_angle_beta 90.00
_cell_angle_gamma 90.00
loop_
_atom_site_label
_atom_site_type_symbol
_atom_site_fract_x
_atom_site_fract_y
_atom_site_fract_z
Sc1 Sc 0.000 0.500 0.000
In1 In 0.000 0.000 0.500
Re1 Re 0.500 0.500 0.500
Mo1 Mo 0.500 0.500 0.000
```



Record 10
A plane-wave DFT calculation with PBE was carried out for InReTeMo2 after structural relaxation.

Summary:
**Total energy**: -5.101 eV/atom
**Density**: 8.00 g/cm3
**Formation energy from raw total energies**: 2898 meV/atom
**Total moment**: 4.781 Bohr magnetons per cell

```
data_InReTeMo2
_symmetry_space_group_name_H-M 'P 4/m m m'
_symmetry_Int_Tables_number 123
_symmetry_space_group_name_Hall '-P 4 2'
_cell_length_a 4.959
_cell_length_b 4.959
_cell_length_c 5.237
_cell_angle_alpha 90.00
_cell_angle_beta 90.00
_cell_angle_gamma 90.00
loop_
_atom_site_label
_atom_site_type_symbol
_atom_site_fract_x
_atom_site_fract_y
_atom_site_fract_z
In1 In 0.000 0.000 0.000
Re1 Re 0.500 0.500 0.500
Te1 Te 0.000 0.000 0.500
Mo1 Mo 0.000 0.500 0.000
```



Record 11
A plane-wave DFT calculation with PBE was carried out for InMo2Rh2 after structural relaxation.

Summary:
**Total energy**: -7.745 eV/atom
**Density**: 10.06 g/cm3
**Formation energy from the elements**: 0.0754 eV/atom
**Total moment**: 0.000 Bohr magnetons per cell
**Energy above the lowest structure with this stoichiometry**: 25 meV per atom

```
data_InMo2Rh2
_symmetry_space_group_name_H-M 'P 4/m b m'
_symmetry_Int_Tables_number 127
_symmetry_space_group_name_Hall '-P 4 2ab'
_cell_length_a 7.752
_cell_length_b 7.752
_cell_length_c 2.815
_cell_angle_alpha 90.00
_cell_angle_beta 90.00
_cell_angle_gamma 90.00
loop_
_atom_site_label
_atom_site_type_symbol
_atom_site_fract_x
_atom_site_fract_y
_atom_site_fract_z
In1 In 0.000 0.000 0.000
Mo1 Mo 0.118 0.382 0.000
Rh1 Rh 0.170 0.670 0.500
```



Record 12
A plane-wave DFT calculation with PBE was carried out for InMoRh2 after structural relaxation.

Summary:
**Total energy**: -7.168 eV/atom
**Density**: 10.80 g/cm3
**Formation energy from the elements**: -0.1002 eV/atom
**Total moment**: 0.000 Bohr magnetons per cell

```
data_InMoRh2
_symmetry_space_group_name_H-M 'C 1 m 1'
_symmetry_Int_Tables_number 8
_symmetry_space_group_name_Hall 'C -2y'
_cell_length_a 9.442
_cell_length_b 2.891
_cell_length_c 4.775
_cell_angle_alpha 90.00
_cell_angle_beta 100.68
_cell_angle_gamma 90.00
loop_
_atom_site_label
_atom_site_type_symbol
_atom_site_fract_x
_atom_site_fract_y
_atom_site_fract_z
In1 In 0.000 0.000 0.000
Mo1 Mo 0.262 0.500 0.326
Rh1 Rh 0.002 0.500 0.498
Rh2 Rh 0.250 0.000 0.805
```